1.
# CsAg2Sn4, relaxed, DFT PBE-GGA
data_CsAg2Sn4
_space_group_name_H-M_alt 'P 1'
_space_group_IT_number 1
_cell_length_a 11.7663
_cell_length_b 7.3806
_cell_length_c 7.3794
_cell_angle_alpha 90.00
_cell_angle_beta 128.73
_cell_angle_gamma 90.00
loop_
_space_group_symop_operation_xyz
'x,y,z'
loop_
_atom_site_label
_atom_site_fract_x
_atom_site_fract_y
_atom_site_fract_z
Cs1 0.0000 0.0000 0.0000
Cs2 0.5000 0.5000 0.0000
Ag1 0.2500 0.0000 0.7500
Ag2 0.2500 0.5000 0.2500
Ag3 0.7500 0.0000 0.2500
Ag4 0.7500 0.5000 0.7500
Sn1 0.0000 0.2195 0.5000
Sn2 0.9997 0.5000 0.2191
Sn3 0.0003 0.5000 0.7809
Sn4 0.0000 0.7805 0.5000
Sn5 0.4997 0.0000 0.2191
Sn6 0.5003 0.0000 0.7809
Sn7 0.5000 0.2805 0.5000
Sn8 0.5000 0.7195 0.5000
# Volume in Å³/cell: 499.9
# Formation energy in eV/atom: 0.01
# VASP energy in eV per cell: -44.9
# Size of the total moment in μB per atom: 0.00
# Crystal system: monoclinic
# DOS(E_F) in states/eV/f.u.: 3.10

=====

2.
# La2ZnPd2Pt5, relaxed, DFT PBE-GGA
data_La2ZnPd2Pt5
_space_group_name_H-M_alt 'P 1'
_space_group_IT_number 1
_cell_length_a 9.5681
_cell_length_b 9.5681
_cell_length_c 4.1548
_cell_angle_alpha 90.00
_cell_angle_beta 90.00
_cell_angle_gamma 90.00
loop_
_space_group_symop_operation_xyz
'x,y,z'
loop_
_atom_site_label
_atom_site_fract_x
_atom_site_fract_y
_atom_site_fract_z
La1 0.1749 0.3251 0.0000
La2 0.3251 0.8251 0.0000
La3 0.6749 0.1749 0.0000
La4 0.8251 0.6749 0.0000
Zn1 0.0000 0.0000 0.0000
Zn2 0.5000 0.5000 0.0000
Pd1 0.1271 0.6271 0.0000
Pd2 0.3729 0.1271 0.0000
Pd3 0.6271 0.8729 0.0000
Pd4 0.8729 0.3729 0.0000
Pt1 0.0000 0.5000 0.5000
Pt2 0.0530 0.8001 0.5000
Pt3 0.1999 0.0530 0.5000
Pt4 0.3001 0.5530 0.5000
Pt5 0.4470 0.3001 0.5000
Pt6 0.5000 0.0000 0.5000
Pt7 0.5530 0.6999 0.5000
Pt8 0.6999 0.4470 0.5000
Pt9 0.8001 0.9470 0.5000
Pt10 0.9470 0.1999 0.5000
# Volume in Å³/cell: 380.4
# Formation energy in eV/atom: -0.76
# VASP energy in eV per cell: -118.6
# Size of the total moment in μB per atom: 0.00
# Crystal system: tetragonal
# DOS(E_F) in states/eV/f.u.: 5.24

=====

3.
# PmSn3, relaxed, DFT PBE-GGA
data_PmSn3
_space_group_name_H-M_alt 'P 1'
_space_group_IT_number 1
_cell_length_a 4.4860
_cell_length_b 22.4688
_cell_length_c 4.4387
_cell_angle_alpha 90.00
_cell_angle_beta 90.00
_cell_angle_gamma 90.00
loop_
_space_group_symop_operation_xyz
'x,y,z'
loop_
_atom_site_label
_atom_site_fract_x
_atom_site_fract_y
_atom_site_fract_z
Pm1 0.0000 0.0776 0.2500
Pm2 0.0000 0.9224 0.7500
Pm3 0.5000 0.4224 0.7500
Pm4 0.5000 0.5776 0.2500
Sn1 0.0000 0.1857 0.7500
Sn2 0.0000 0.3153 0.7500
Sn3 0.0000 0.4553 0.2500
Sn4 0.0000 0.5447 0.7500
Sn5 0.0000 0.6847 0.2500
Sn6 0.0000 0.8143 0.2500
Sn7 0.5000 0.0447 0.7500
Sn8 0.5000 0.1847 0.2500
Sn9 0.5000 0.3143 0.2500
Sn10 0.5000 0.6857 0.7500
Sn11 0.5000 0.8153 0.7500
Sn12 0.5000 0.9553 0.2500
# Volume in Å³/cell: 447.4
# Formation energy in eV/atom: -0.50
# VASP energy in eV per cell: -75.0
# Size of the total moment in μB per atom: 0.00
# Crystal system: orthorhombic
# DOS(E_F) in states/eV/f.u.: 1.55

=====

4.
# CsPaPbO6, relaxed, DFT PBE-GGA
data_CsPaPbO6
_space_group_name_H-M_alt 'P 1'
_space_group_IT_number 1
_cell_length_a 8.0655
_cell_length_b 8.0655
_cell_length_c 8.0655
_cell_angle_alpha 122.69
_cell_angle_beta 118.60
_cell_angle_gamma 88.92
loop_
_space_group_symop_operation_xyz
'x,y,z'
loop_
_atom_site_label
_atom_site_fract_x
_atom_site_fract_y
_atom_site_fract_z
Cs1 0.3546 0.1046 0.2500
Cs2 0.6454 0.8954 0.7500
Pa1 0.0000 0.5000 0.5000
Pa2 0.5000 0.5000 0.0000
Pb1 0.0000 0.0000 0.5000
Pb2 0.0000 0.5000 0.0000
O1 0.0625 0.4283 0.2482
O2 0.0625 0.8144 0.6342
O3 0.0832 0.8332 0.2500
O4 0.3078 0.5578 0.7500
O5 0.3198 0.1856 0.7482
O6 0.3198 0.5717 0.1342
O7 0.6802 0.4283 0.8658
O8 0.6802 0.8144 0.2518
O9 0.6922 0.4422 0.2500
O10 0.9168 0.1668 0.7500
O11 0.9375 0.1856 0.3658
O12 0.9375 0.5717 0.7518
# Volume in Å³/cell: 366.7
# VASP energy in eV per cell: -119.5
# ΔE_f (raw) in eV per atom: -1.77
# Size of the total moment in μB per atom: 0.22
# Crystal system: orthorhombic
# DOS(E_F) in states/eV/f.u.: 6.45

=====

5.
# AcSiAg3, relaxed, DFT PBE-GGA
data_AcSiAg3
_space_group_name_H-M_alt 'P 1'
_space_group_IT_number 1
_cell_length_a 4.9475
_cell_length_b 4.9475
_cell_length_c 4.9475
_cell_angle_alpha 90.00
_cell_angle_beta 90.00
_cell_angle_gamma 90.00
loop_
_space_group_symop_operation_xyz
'x,y,z'
loop_
_atom_site_label
_atom_site_fract_x
_atom_site_fract_y
_atom_site_fract_z
Ac1 0.0000 0.0000 0.0000
Si1 0.5000 0.5000 0.5000
Ag1 0.0000 0.5000 0.5000
Ag2 0.5000 0.0000 0.5000
Ag3 0.5000 0.5000 0.0000
# Volume in Å³/cell: 121.1
# VASP energy in eV per cell: -18.2
# ΔE_f (raw) in eV per atom: -0.03
# Size of the total moment in μB per atom: 0.00
# Energy above the most stable polymorph in this dataset in eV per formula unit: 1.18
# Crystal system: cubic
# DOS(E_F) in states/eV/f.u.: 3.34

=====

6.
# Y2GaSb4, relaxed, DFT PBE-GGA
data_Y2GaSb4
_space_group_name_H-M_alt 'P 1'
_space_group_IT_number 1
_cell_length_a 5.3132
_cell_length_b 5.3132
_cell_length_c 15.6462
_cell_angle_alpha 90.00
_cell_angle_beta 90.00
_cell_angle_gamma 90.00
loop_
_space_group_symop_operation_xyz
'x,y,z'
loop_
_atom_site_label
_atom_site_fract_x
_atom_site_fract_y
_atom_site_fract_z
Y1 0.0000 0.0000 0.1136
Y2 0.0000 0.0000 0.8864
Y3 0.5000 0.5000 0.3864
Y4 0.5000 0.5000 0.6136
Ga1 0.0000 0.0000 0.5000
Ga2 0.5000 0.5000 0.0000
Sb1 0.0000 0.0000 0.3047
Sb2 0.0000 0.0000 0.6953
Sb3 0.0000 0.5000 0.0000
Sb4 0.0000 0.5000 0.5000
Sb5 0.5000 0.0000 0.0000
Sb6 0.5000 0.0000 0.5000
Sb7 0.5000 0.5000 0.1953
Sb8 0.5000 0.5000 0.8047
# Volume in Å³/cell: 441.7
# VASP energy in eV per cell: -66.9
# ΔE_f (raw) in eV per atom: -0.14
# Size of the total moment in μB per atom: 0.00
# Crystal system: tetragonal
# DOS(E_F) in states/eV/f.u.: 5.98